# Li2Sm3Au4

A relaxed structure of Li2Sm3Au4 (PBE, the Alexandria database).

Cell lengths 4.2451, 6.4491, 8.3705 Å; angles 73.65, 75.31, 70.78 degrees
Closest atoms and distances in Å follow each position.
Fractional positions:
Sm (0.6433, 0.4035, 0.3098)  7 Au 3.00-3.18, 3 Li 3.23-3.31
Au (0.9329, 0.7400, 0.3941)  2 Li 2.61
Sm (0.0000, 0.0000, 0.0000)  6 Au 3.07-3.24
Li (0.3313, 0.9962, 0.3412)  3 Au 2.61-2.71
Li (0.6687, 0.0038, 0.6588)  3 Au 2.61-2.71
Au (0.2998, 0.3372, 0.0633)  1 Li 2.71, 2 Au 2.93, 2 Sm 3.00
Au (0.7002, 0.6628, 0.9367)  1 Li 2.71, 2 Au 2.93, 2 Sm 3.00
Au (0.0671, 0.2600, 0.6059)  2 Li 2.61
Sm (0.3567, 0.5965, 0.6902)  7 Au 3.00-3.18, 3 Li 3.23-3.31

Properties
energy: -37.03 eV per cell
formation energy from the elements: -0.660 eV per atom
polymorph energy (0 for the lowest one): 0.000 eV/atom